[1]
Computed, not measured: HfMo2Os after structural relaxation at the GGA-PBE level of DFT.

Values from the calculation:
Space group = Fm-3m (225)
Electronic total energy = -10.727 eV/atom
DFT formation energy = -0.016 eV/atom
Spin magnetization = 0.00 μB/f.u.
Energy above the lowest structure with this stoichiometry = 0 meV per atom

Cell: 4.521 4.521 4.521 Å, 60.00 60.00 60.00°
Fractional coordinates of all 4 atoms:
Hf  0.000  0.000  0.000
Mo  0.250  0.250  0.250
Mo  0.750  0.750  0.750
Os  0.500  0.500  0.500



[2]
Computed, not measured: Hf2Mo2Os after structural relaxation at the GGA-PBE level of DFT.

Values from the calculation:
Space group = I4/mmm (139)
Electronic total energy = -9.371 eV/atom
DFT formation energy = 1.189 eV/atom
Spin magnetization = 0.00 μB/f.u.
Energy above the lowest structure with this stoichiometry = 1079 meV per atom

Cell: 7.134 7.134 7.134 Å, 148.94 148.94 44.50°
Fractional coordinates of all 5 atoms:
Hf  0.250  0.750  0.500
Hf  0.750  0.250  0.500
Mo  0.085  0.085  0.000
Mo  0.915  0.915  0.000
Os  0.500  0.500  0.000



[3]
Computed, not measured: Hf3MoOs after structural relaxation at the GGA-PBE level of DFT.

Values from the calculation:
Space group = Pm-3m (221)
Electronic total energy = -9.127 eV/atom
DFT formation energy = 1.258 eV/atom
Spin magnetization = 0.00 μB/f.u.
Energy above the lowest structure with this stoichiometry = 413 meV per atom

Cell: 4.860 4.860 4.860 Å, 90.00 90.00 90.00°
Fractional coordinates of all 5 atoms:
Hf  0.000  0.000  0.500
Hf  0.000  0.500  0.000
Hf  0.500  0.000  0.000
Mo  0.000  0.000  0.000
Os  0.500  0.500  0.500



[4]
Computed, not measured: Hf2MoOs after structural relaxation at the GGA-PBE level of DFT.

Values from the calculation:
Space group = I-42d (122)
Electronic total energy = -10.082 eV/atom
DFT formation energy = 0.410 eV/atom
Spin magnetization = 0.00 μB/f.u.

Cell: 5.924 5.924 5.924 Å, 103.24 103.24 122.82°
Fractional coordinates of all 8 atoms:
Hf  0.107  0.625  0.982
Hf  0.375  0.357  0.482
Hf  0.643  0.125  0.018
Hf  0.875  0.893  0.518
Mo  0.250  0.750  0.500
Mo  0.500  0.500  0.000
Os  0.000  0.000  0.000
Os  0.750  0.250  0.500



[5]
Computed, not measured: Hf4MoOs after structural relaxation at the GGA-PBE level of DFT.

Values from the calculation:
Space group = R-3m (166)
Electronic total energy = -10.286 eV/atom
DFT formation energy = 0.026 eV/atom
Spin magnetization = 0.00 μB/f.u.

Cell: 7.899 7.899 7.899 Å, 33.27 33.27 33.27°
Fractional coordinates of all 6 atoms:
Hf  0.124  0.124  0.124
Hf  0.374  0.374  0.374
Hf  0.626  0.626  0.626
Hf  0.876  0.876  0.876
Mo  0.500  0.500  0.500
Os  0.000  0.000  0.000



[6]
Computed, not measured: Hf2MoOs after structural relaxation at the GGA-PBE level of DFT.

Values from the calculation:
Space group = P4/mmm (123)
Electronic total energy = -10.870 eV/atom
DFT formation energy = -0.378 eV/atom
Spin magnetization = 0.00 μB/f.u.

Cell: 4.648 4.648 3.267 Å, 90.00 90.00 90.00°
Fractional coordinates of all 4 atoms:
Hf  0.000  0.500  0.000
Hf  0.500  0.000  0.000
Mo  0.000  0.000  0.500
Os  0.500  0.500  0.500



[7]
Computed, not measured: HfMoOs3 after structural relaxation at the GGA-PBE level of DFT.

Values from the calculation:
Space group = Pm-3m (221)
Electronic total energy = -9.311 eV/atom
DFT formation energy = 1.583 eV/atom
Spin magnetization = 0.00 μB/f.u.
Energy above the lowest structure with this stoichiometry = 0 meV per atom

Cell: 4.657 4.657 4.657 Å, 90.00 90.00 90.00°
Fractional coordinates of all 5 atoms:
Hf  0.000  0.000  0.000
Mo  0.500  0.500  0.500
Os  0.000  0.500  0.500
Os  0.500  0.000  0.500
Os  0.500  0.500  0.000



[8]
Computed, not measured: Hf6MoOs after structural relaxation at the GGA-PBE level of DFT.

Values from the calculation:
Space group = I4/mmm (139)
Electronic total energy = -10.385 eV/atom
DFT formation energy = -0.163 eV/atom
Spin magnetization = 0.00 μB/f.u.

Cell: 8.039 8.039 8.039 Å, 146.18 146.18 48.58°
Fractional coordinates of all 8 atoms:
Hf  0.108  0.608  0.500
Hf  0.247  0.247  0.000
Hf  0.392  0.892  0.500
Hf  0.608  0.108  0.500
Hf  0.753  0.753  0.000
Hf  0.892  0.392  0.500
Mo  0.000  0.000  0.000
Os  0.500  0.500  0.000



[9]
Computed, not measured: HfMo2Os after structural relaxation at the GGA-PBE level of DFT.

Values from the calculation:
Space group = I-42d (122)
Electronic total energy = -10.208 eV/atom
DFT formation energy = 0.503 eV/atom
Spin magnetization = 0.00 μB/f.u.
Energy above the lowest structure with this stoichiometry = 519 meV per atom

Cell: 5.897 5.897 5.897 Å, 101.58 101.58 126.77°
Fractional coordinates of all 8 atoms:
Hf  0.000  0.000  0.000
Hf  0.750  0.250  0.500
Mo  0.161  0.125  0.536
Mo  0.375  0.839  0.964
Mo  0.589  0.625  0.464
Mo  0.875  0.411  0.036
Os  0.250  0.750  0.500
Os  0.500  0.500  0.000



[10]
Computed, not measured: Hf8Mo2Os after structural relaxation at the GGA-PBE level of DFT.

Values from the calculation:
Space group = C2/m (12)
Electronic total energy = -10.296 eV/atom
DFT formation energy = -0.067 eV/atom
Spin magnetization = 0.00 μB/f.u.

Cell: 8.233 8.233 6.522 Å, 108.06 108.06 32.63°
Fractional coordinates of all 11 atoms:
Hf  0.021  0.021  0.269
Hf  0.193  0.193  0.772
Hf  0.338  0.338  0.563
Hf  0.400  0.400  0.052
Hf  0.600  0.600  0.948
Hf  0.662  0.662  0.437
Hf  0.807  0.807  0.228
Hf  0.979  0.979  0.731
Mo  0.185  0.185  0.185
Mo  0.815  0.815  0.815
Os  0.500  0.500  0.500



[11]
Computed, not measured: Hf2Mo2Os after structural relaxation at the GGA-PBE level of DFT.

Values from the calculation:
Space group = I4/mmm (139)
Electronic total energy = -10.240 eV/atom
DFT formation energy = 0.320 eV/atom
Spin magnetization = 0.00 μB/f.u.
Energy above the lowest structure with this stoichiometry = 210 meV per atom

Cell: 8.450 8.450 8.450 Å, 156.45 156.45 33.54°
Fractional coordinates of all 5 atoms:
Hf  0.097  0.097  0.000
Hf  0.903  0.903  0.000
Mo  0.250  0.750  0.500
Mo  0.750  0.250  0.500
Os  0.500  0.500  0.000



[12]
Computed, not measured: HfPaMoOs after structural relaxation at the GGA-PBE level of DFT.

Values from the calculation:
Space group = F-43m (216)
Electronic total energy = -10.613 eV/atom
DFT formation energy = -0.236 eV/atom
Spin magnetization = 0.00 μB/f.u.

Cell: 4.769 4.769 4.769 Å, 60.00 60.00 60.00°
Fractional coordinates of all 4 atoms:
Hf  0.000  0.000  0.000
Pa  0.500  0.500  0.500
Mo  0.750  0.750  0.750
Os  0.250  0.250  0.250